A geometry-optimized Ac2ErGa structure. Source: the Alexandria database, functional PBE.

Output
DFT formation energy ... -82 meV per atom
E ... -4.034 eV per atom
Energy above the lowest structure with this stoichiometry ... 70 meV/atom

abc: 5.1787 5.1787 4.9004
angles: 90.00 90.00 90.00
Space group P4/mmm (No. 123)
Unique sites:
1 Ac 0.0000 0.5000 0.0000 [2 per cell]
2 Er 0.0000 0.0000 0.5000 [1 per cell]
3 Ga 0.5000 0.5000 0.5000 [1 per cell]